Record 1
Computed, not measured: crystalline Zr3CdN at its relaxed geometry at the PBE-GGA level of DFT.

Geometry as CIF:
```
data_Zr3CdN
_space_group_name_H-M_alt 'P 1'
_space_group_IT_number 1
_space_group_name_Hall 'P 1'
_cell_length_a 4.850
_cell_length_b 4.850
_cell_length_c 11.917
_cell_angle_alpha 78.26
_cell_angle_beta 78.26
_cell_angle_gamma 90.00
loop_
_atom_site_label
_atom_site_fract_x
_atom_site_fract_y
_atom_site_fract_z
N1 0.655 0.155 0.690
N2 0.845 0.345 0.310
Zr1 0.629 0.872 0.256
Zr2 0.128 0.371 0.744
Zr3 0.128 0.885 0.744
Zr4 0.115 0.872 0.256
Zr5 0.311 0.311 0.377
Zr6 0.689 0.689 0.623
Cd1 0.000 0.000 0.000
Cd2 0.250 0.750 0.500
```

Values from the calculation:
magnetization: 0.00 μB/f.u.
energy: -6.092 eV/atom
density: 4.950 Mg/m³
V: 268.4 Å³ per cell

=====

Record 2
Computed, not measured: crystalline NbTeI2N at its relaxed geometry at the PBE-GGA level of DFT.

Geometry as CIF:
```
data_NbTeI2N
_space_group_name_H-M_alt 'P 1'
_space_group_IT_number 1
_space_group_name_Hall 'P 1'
_cell_length_a 6.159
_cell_length_b 6.159
_cell_length_c 3.964
_cell_angle_alpha 90.00
_cell_angle_beta 90.00
_cell_angle_gamma 90.00
loop_
_atom_site_label
_atom_site_fract_x
_atom_site_fract_y
_atom_site_fract_z
I1 0.000 0.500 0.000
I2 0.500 0.000 0.000
Nb1 0.500 0.500 0.500
Te1 0.000 0.000 0.000
N1 0.000 0.000 0.500
```

Values from the calculation:
magnetization: 3.86 μB/f.u.
density: 5.391 Mg/m³
excess energy over the best structure of this formula in the dataset: 4.94 eV per formula unit
V: 150.4 Å³ per cell

=====

Record 3
Computed, not measured: crystalline Zn6Bi at its relaxed geometry at the PBE-GGA level of DFT.

Geometry as CIF:
```
data_Zn6Bi
_space_group_name_H-M_alt 'P 1'
_space_group_IT_number 1
_space_group_name_Hall 'P 1'
_cell_length_a 6.019
_cell_length_b 6.019
_cell_length_c 6.019
_cell_angle_alpha 109.47
_cell_angle_beta 109.47
_cell_angle_gamma 109.47
loop_
_atom_site_label
_atom_site_fract_x
_atom_site_fract_y
_atom_site_fract_z
Zn1 0.250 0.750 0.500
Zn2 0.500 0.750 0.250
Zn3 0.250 0.500 0.750
Zn4 0.750 0.250 0.500
Zn5 0.500 0.250 0.750
Zn6 0.750 0.500 0.250
Bi1 0.000 0.000 0.000
```

Values from the calculation:
magnetization: 0.00 μB/f.u.
density: 5.949 Mg/m³
V: 167.9 Å³ per cell
formation energy from the elements: 0.4700 eV/atom

=====

Record 4
Computed, not measured: crystalline Fe3HgSe at its relaxed geometry at the PBE-GGA level of DFT.

Geometry as CIF:
```
data_Fe3HgSe
_space_group_name_H-M_alt 'P 1'
_space_group_IT_number 1
_space_group_name_Hall 'P 1'
_cell_length_a 4.415
_cell_length_b 4.415
_cell_length_c 4.415
_cell_angle_alpha 90.00
_cell_angle_beta 90.00
_cell_angle_gamma 90.00
loop_
_atom_site_label
_atom_site_fract_x
_atom_site_fract_y
_atom_site_fract_z
Hg1 0.500 0.500 0.500
Se1 0.000 0.000 0.000
Fe1 0.000 0.500 0.000
Fe2 0.000 0.000 0.500
Fe3 0.500 0.000 0.000
```

Values from the calculation:
magnetization: 6.46 μB/f.u.
density: 8.628 Mg/m³
excess energy over the best structure of this formula in the dataset: 0.00 eV per formula unit
V: 86.0 Å³ per cell